Density functional theory data (PBE) for a geometry-optimized SbBrCl structure.

Unit cell a=4.9653 b=4.9653 c=3.6631 alpha=90.00 beta=90.00 gamma=120.00
Fractional positions:
Sb 0.0000 0.0000 0.0000
Br 0.3333 0.6667 0.2276
Cl 0.6667 0.3333 0.7984

Calculated values
space-group type = P3m1 (156)

Density functional theory data (PBE) for a geometry-optimized LiGd2Bi structure.

Unit cell a=5.3877 b=5.3877 c=5.3877 alpha=60.00 beta=60.00 gamma=60.00
Fractional positions:
Li 0.0000 0.0000 0.0000
Gd 0.2500 0.2500 0.2500
Gd 0.7500 0.7500 0.7500
Bi 0.5000 0.5000 0.5000

Calculated values
space-group type = Fm-3m (225)
ΔH_f (0 K) = -0.362 eV per atom

no.,spin magnetization (Bohr magnetons per cell),E above lowest polymorph (eV/atom)
1,0.0,0.290
2,15.4,0.071